Entry 1:
An optimized crystal structure of HfFe2GeIr. Source: the Alexandria database, functional GGA-PBE.

abc: 4.3116 4.5776 4.3116
angles: 90.00 90.00 90.00
Last column: magnetic moment on the atom in μB.
Atoms (fractional coordinates):
Ir (0.0000, 0.5000, 0.0000)  -0.01
Fe (0.0000, 0.0000, 0.5000)  1.95
Fe (0.5000, 0.0000, 0.0000)  1.99
Ge (0.0000, 0.0000, 0.0000)  -0.10
Hf (0.5000, 0.5000, 0.5000)  -0.40

Summary:
Symmetry: P4/mmm (123)
DOS(E_F): 0.707 states/eV per atom
Total DFT energy (no corrections): -7.6029 eV per atom



Entry 2:
An optimized crystal structure of RhSeBrN2. Source: the Alexandria database, functional GGA-PBE.

abc: 3.8405 3.8405 5.6869
angles: 90.00 90.00 90.00
Last column: magnetic moment on the atom in μB.
Atoms (fractional coordinates):
Se (0.0000, 0.0000, 0.5000)  0.00
N (0.5000, 0.0000, 0.0000)  0.17
N (0.0000, 0.5000, 0.0000)  0.17
Br (0.5000, 0.5000, 0.5000)  0.00
Rh (0.0000, 0.0000, 0.0000)  -0.03

Summary:
Energy relative to the lowest polymorph listed for this composition: 0 meV per atom
Symmetry: P4/mmm (123)
DOS(E_F): 0.374 states/eV per atom
ΔE_f (raw): 1.10 eV per atom
Total DFT energy (no corrections): -4.7345 eV per atom



Entry 3:
An optimized crystal structure of Li5MgSn6. Source: the Alexandria database, functional GGA-PBE.

abc: 4.7640 8.8436 8.4046
angles: 58.26 73.68 57.71
Atoms (fractional coordinates):
Li (0.5000, 0.1617, 0.6765)
Li (0.5000, 0.8383, 0.3235)
Li (0.5000, 0.5000, 0.0000)
Li (0.0000, 0.6696, 0.6607)
Li (0.0000, 0.3304, 0.3393)
Sn (0.2572, 0.9112, 0.6615)
Sn (0.7428, 0.4273, 0.6615)
Sn (0.2364, 0.2630, 0.0000)
Sn (0.7636, 0.7370, 0.0000)
Sn (0.2572, 0.5727, 0.3385)
Sn (0.7428, 0.0888, 0.3385)
Mg (0.0000, 0.0000, 0.0000)

Summary:
Symmetry: C2/m (12)
DOS(E_F): 0.302 states/eV per atom
Total DFT energy (no corrections): -3.2167 eV per atom



Entry 4:
An optimized crystal structure of Ti2Zn3Ga. Source: the Alexandria database, functional GGA-PBE.

abc: 3.0039 4.1705 8.2738
angles: 104.60 100.46 90.00
Atoms (fractional coordinates):
Zn (0.5394, 0.5394, 0.0788)
Zn (0.3087, 0.8087, 0.6175)
Zn (0.6911, 0.6911, 0.3822)
Ti (0.8784, 0.3784, 0.7568)
Ti (0.1206, 0.1206, 0.2411)
Ga (0.4618, 0.9618, 0.9236)

Summary:
Energy relative to the lowest polymorph listed for this composition: 220 meV per atom
Symmetry: Imm2 (44)
DOS(E_F): 0.798 states/eV per atom
Total DFT energy (no corrections): -3.8130 eV per atom



Entry 5:
An optimized crystal structure of RbZn4Au2. Source: the Alexandria database, functional GGA-PBE.

abc: 4.1611 8.2884 8.2884
angles: 90.00 90.00 90.00
Atoms (fractional coordinates):
Au (0.5000, 0.7282, 0.7282)
Au (0.0000, 0.2282, 0.7718)
Au (0.0000, 0.7718, 0.2282)
Au (0.5000, 0.2718, 0.2718)
Zn (0.5000, 0.1426, 0.5843)
Zn (0.0000, 0.9157, 0.6426)
Zn (0.5000, 0.8574, 0.4157)
Zn (0.5000, 0.4157, 0.8574)
Zn (0.0000, 0.0843, 0.3574)
Zn (0.0000, 0.3574, 0.0843)
Zn (0.5000, 0.5843, 0.1426)
Zn (0.0000, 0.6426, 0.9157)
Rb (0.5000, 0.0000, 0.0000)
Rb (0.0000, 0.5000, 0.5000)

Summary:
Symmetry: P4_2/mnm (136)
DOS(E_F): 0.374 states/eV per atom
Total DFT energy (no corrections): -1.9585 eV per atom



Entry 6:
An optimized crystal structure of FeCo2SnH. Source: the Alexandria database, functional GGA-PBE.

abc: 3.8009 3.8009 3.7229
angles: 90.00 90.00 90.00
Last column: magnetic moment on the atom in μB.
Atoms (fractional coordinates):
Sn (0.5000, 0.5000, 0.5000)  -0.10
Co (0.0000, 0.5000, 0.0000)  0.60
Co (0.5000, 0.0000, 0.0000)  0.60
H (0.0000, 0.0000, 0.0000)  -0.01
Fe (0.0000, 0.0000, 0.5000)  2.20

Summary:
Symmetry: P4/mmm (123)
DOS(E_F): 1.052 states/eV per atom
Total DFT energy (no corrections): -5.9844 eV per atom



Entry 7:
An optimized crystal structure of LiNdGdRe. Source: the Alexandria database, functional GGA-PBE.

abc: 5.0077 5.0077 5.0077
angles: 60.00 60.00 60.00
Last column: magnetic moment on the atom in μB.
Atoms (fractional coordinates):
Li (0.0000, 0.0000, 0.0000)  -0.01
Gd (0.2500, 0.2500, 0.2500)  -7.09
Re (0.5000, 0.5000, 0.5000)  0.15
Nd (0.7500, 0.7500, 0.7500)  0.01

Summary:
Symmetry: F-43m (216)
DOS(E_F): 0.789 states/eV per atom
Total DFT energy (no corrections): -8.1638 eV per atom



Entry 8:
An optimized crystal structure of ZnAsCl2. Source: the Alexandria database, functional GGA-PBE.

abc: 5.0870 5.0870 3.2509
angles: 90.00 90.00 106.04
Atoms (fractional coordinates):
As (0.0000, 0.5000, 0.5000)
Zn (0.5000, 0.0000, 0.5000)
Cl (0.0000, 0.0000, 0.0000)
Cl (0.5000, 0.5000, 0.0000)

Summary:
Energy relative to the lowest polymorph listed for this composition: 655 meV per atom
Symmetry: Cmmm (65)
DOS(E_F): 0.342 states/eV per atom
ΔE_f (raw): 0.23 eV per atom
Total DFT energy (no corrections): -2.1754 eV per atom



Entry 9:
An optimized crystal structure of PaB2Ru4. Source: the Alexandria database, functional GGA-PBE.

abc: 5.9716 5.3869 7.1724
angles: 112.01 114.59 90.02
Atoms (fractional coordinates):
Pa (0.2576, 0.6952, 0.5145)
Pa (0.9931, 0.9308, 0.9856)
Ru (0.4273, 0.1324, 0.3563)
Ru (0.7711, 0.5910, 0.5423)
Ru (0.3864, 0.2078, 0.7731)
Ru (0.4788, 0.7989, 0.9577)
Ru (0.9290, 0.1325, 0.3564)
Ru (0.8226, 0.5258, 0.1436)
Ru (0.8630, 0.1842, 0.7264)
Ru (0.3209, 0.5259, 0.1436)
B (0.1249, 0.4735, 0.7500)
B (0.6256, 0.4740, 0.7511)
B (0.5686, 0.2328, 0.1373)
B (0.6810, 0.8452, 0.3619)

Summary:
Energy relative to the lowest polymorph listed for this composition: 71 meV per atom
Symmetry: Cc (9)
DOS(E_F): 0.851 states/eV per atom
Total DFT energy (no corrections): -8.8676 eV per atom



Entry 10:
An optimized crystal structure of Pr4GaNiCl2. Source: the Alexandria database, functional GGA-PBE.

abc: 4.0380 7.4918 7.5445
angles: 107.85 90.00 90.00
Atoms (fractional coordinates):
Pr (0.0000, 0.7562, 0.2429)
Pr (0.5000, 0.2236, 0.2146)
Pr (0.0000, 0.2438, 0.7571)
Pr (0.5000, 0.7764, 0.7854)
Ni (0.0000, 0.0000, 0.0000)
Cl (0.0000, 0.5000, 0.5000)
Cl (0.5000, 0.0000, 0.5000)
Ga (0.5000, 0.5000, 0.0000)

Summary:
Symmetry: P2/m (10)
DOS(E_F): 0.893 states/eV per atom
ΔE_f (raw): -0.93 eV per atom
Total DFT energy (no corrections): -4.8796 eV per atom



Entry 11:
An optimized crystal structure of Na2NbPt. Source: the Alexandria database, functional GGA-PBE.

abc: 8.5392 8.5392 6.5662
angles: 49.44 49.44 90.00
Last column: magnetic moment on the atom in μB.
Atoms (fractional coordinates):
Na (0.6730, 0.1250, 0.2500)  0.00
Na (0.0770, 0.6250, 0.2500)  0.00
Na (0.3750, 0.3270, 0.7500)  0.00
Na (0.8750, 0.9230, 0.7500)  0.00
Pt (0.0000, 0.0000, 0.0000)  0.06
Pt (0.7500, 0.2500, 0.5000)  0.06
Nb (0.2500, 0.7500, 0.5000)  1.74
Nb (0.5000, 0.5000, 0.0000)  1.74

Summary:
Energy relative to the lowest polymorph listed for this composition: 0 meV per atom
Symmetry: I-42d (122)
DOS(E_F): 0.764 states/eV per atom
Total DFT energy (no corrections): -3.9680 eV per atom



Entry 12:
An optimized crystal structure of TbSm2ThSe5. Source: the Alexandria database, functional GGA-PBE.

abc: 5.1498 5.1498 11.0037
angles: 90.00 90.00 90.00
Atoms (fractional coordinates):
Se (0.5000, 0.5000, 0.0000)
Se (0.0000, 0.0000, 0.7525)
Se (0.0000, 0.5000, 0.5000)
Se (0.5000, 0.0000, 0.5000)
Se (0.0000, 0.0000, 0.2475)
Th (0.0000, 0.0000, 0.0000)
Sm (0.5000, 0.5000, 0.6598)
Sm (0.5000, 0.5000, 0.3402)
Tb (0.0000, 0.0000, 0.5000)

Summary:
Symmetry: P4/mmm (123)
DOS(E_F): 0.986 states/eV per atom
ΔE_f (raw): -1.09 eV per atom
Total DFT energy (no corrections): -5.4136 eV per atom